A plane-wave DFT calculation with PBE+U was carried out for a geometry-optimized PuNiH2O6 structure.

```
20
Lattice="-4.9978 -0.0723 -1.7938 -1.5808 -6.3405 1.8220 -3.1227 1.6328 5.7968" Properties=species:S:1:pos:R:3 pbc="T T T"
Pu -3.9758 -0.4350 4.3266
Pu -5.7255 -4.3450 1.4984
Ni -2.9615 -5.6798 1.7119
Ni -6.7398 0.8998 4.1131
H -4.1425 -3.0104 4.6926
H -3.0990 -1.5311 2.1301
H -5.5588 -1.7696 1.1324
H -6.6023 -3.2489 3.6949
O -4.6651 -4.9292 6.3077
O -2.2719 -1.1872 -0.2701
O -5.0362 0.1492 -0.4827
O -7.4295 -3.5927 6.0951
O -4.4895 -4.7543 2.8297
O -1.9684 -3.8396 1.9729
O -5.2118 -0.0257 2.9953
O -7.7330 -0.9404 3.8521
O -7.0901 -3.6899 2.9523
O -4.8554 -2.4435 1.3191
O -2.6113 -1.0901 2.8727
O -4.8459 -2.3364 4.5059
```

For the energy, the calculation gives -6.684 eV/atom. Its space-group type is C2/c. For the volume, the calculation gives 238 Å³/cell.